1.
## AcPrNd2Ho (GGA-PBE)

Data for AcPrNd2Ho after structural relaxation.

Properties
V: 382.8 Å³ per cell
E_tot: -42.64 eV/cell
energy of formation: 0.337 eV/atom
ρ: 7.13 g/cm³

Cell and atoms, written as POSCAR:
```
AcPrNd2Ho
1.0
4.171 -6.158 0.000
4.171 6.158 0.000
0.000 0.000 7.451
Ac Pr Nd Ho
2 2 4 2
Cartesian
4.171 3.171 5.589
4.171 -3.171 1.863
4.171 5.403 1.863
4.171 -5.403 5.589
2.532 0.000 0.000
2.532 0.000 3.726
5.811 0.000 0.000
5.811 0.000 3.726
4.171 2.357 1.863
4.171 -2.357 5.589
```

=====

2.
## AcPr2NdHo (GGA-PBE)

Data for AcPr2NdHo after structural relaxation.

Properties
V: 385.6 Å³ per cell
E_tot: -42.66 eV/cell
energy of formation: 0.337 eV/atom
ρ: 7.05 g/cm³

Cell and atoms, written as POSCAR:
```
AcPr2NdHo
1.0
4.184 -6.158 0.000
4.184 6.158 0.000
0.000 0.000 7.482
Ac Pr Nd Ho
2 4 2 2
Cartesian
4.184 3.177 5.612
4.184 -3.177 1.871
2.531 0.000 0.000
2.531 0.000 3.741
5.837 0.000 0.000
5.837 0.000 3.741
4.184 5.421 1.871
4.184 -5.421 5.612
4.184 2.370 1.871
4.184 -2.370 5.612
```

=====

3.
## AcPr4Nd2Ho (GGA-PBE)

Data for AcPr4Nd2Ho after structural relaxation.

Properties
V: 290.5 Å³ per cell
E_tot: -37.19 eV/cell
energy of formation: 0.019 eV/atom
ρ: 7.11 g/cm³

Cell and atoms, written as POSCAR:
```
AcPr4Nd2Ho
1.0
5.240 0.000 0.000
0.000 5.266 0.000
0.000 0.000 10.527
Ac Pr Nd Ho
1 4 2 1
Cartesian
0.000 0.000 0.000
0.000 2.633 2.715
0.000 2.633 7.812
2.620 0.000 2.714
2.620 0.000 7.813
0.000 0.000 5.263
2.620 2.633 0.000
2.620 2.633 5.263
```

=====

4.
## AcNdHoPu (GGA-PBE)

Data for AcNdHoPu after structural relaxation.

Properties
V: 559.2 Å³ per cell
E_tot: -106.83 eV/cell
energy of formation: 0.269 eV/atom
ρ: 9.27 g/cm³

Cell and atoms, written as POSCAR:
```
AcNdHoPu
1.0
8.239 0.000 0.000
0.000 8.239 0.000
0.000 0.000 8.239
Ac Nd Ho Pu
4 4 4 4
Cartesian
0.000 0.000 0.000
0.000 4.119 4.119
4.119 0.000 4.119
4.119 4.119 0.000
2.060 2.060 2.060
2.060 6.179 6.179
6.179 2.060 6.179
6.179 6.179 2.060
2.060 2.060 6.179
2.060 6.179 2.060
6.179 2.060 2.060
6.179 6.179 6.179
0.000 0.000 4.119
0.000 4.119 0.000
4.119 0.000 0.000
4.119 4.119 4.119
```

=====

5.
## AcNdHo4S8 (GGA-PBE)

Data for AcNdHo4S8 after structural relaxation.

Properties
formation energy from raw total energies: -1.920 eV per atom
V: 388.4 Å³ per cell
E_tot: -87.09 eV/cell
ρ: 5.50 g/cm³

Cell and atoms, written as POSCAR:
```
AcNdHo4S8
1.0
4.074 2.352 6.754
-4.074 2.352 6.754
0.000 -4.705 6.754
Ac Nd Ho S
1 1 4 8
Cartesian
0.000 0.000 0.000
0.000 0.000 7.621
0.000 -2.314 10.931
-2.004 1.157 10.931
0.000 0.000 15.152
2.004 1.157 10.931
0.000 -2.105 5.711
-1.823 1.053 5.711
-1.986 -1.146 9.382
0.000 0.000 2.834
1.823 1.053 5.711
0.000 0.000 12.491
1.986 -1.146 9.382
0.000 2.293 9.382
```

=====

6.
## AcNd2HoS6 (GGA-PBE)

Data for AcNd2HoS6 after structural relaxation.

Properties
formation energy from raw total energies: -2.043 eV per atom
V: 285.4 Å³ per cell
E_tot: -63.42 eV/cell
ρ: 5.08 g/cm³

Cell and atoms, written as POSCAR:
```
AcNd2HoS6
1.0
3.609 2.083 6.327
-3.609 2.083 6.327
0.000 -4.167 6.327
Ac Nd Ho S
1 2 1 6
Cartesian
0.000 0.000 0.000
0.000 0.000 5.375
0.000 0.000 14.997
0.000 0.000 9.283
-2.046 -0.139 7.419
-1.400 -1.999 10.550
1.144 -1.703 7.419
-1.031 2.212 10.550
0.903 1.842 7.419
2.431 -0.213 10.550
```

=====

7.
## Ac4Nd3HoS8 (GGA-PBE)

Data for Ac4Nd3HoS8 after structural relaxation.

Properties
formation energy from raw total energies: -1.996 eV per atom
V: 408.8 Å³ per cell
E_tot: -100.27 eV/cell
ρ: 7.16 g/cm³

Cell and atoms, written as POSCAR:
```
Ac4Nd3HoS8
1.0
4.148 2.395 6.860
-4.148 2.395 6.860
0.000 -4.789 6.860
Ac Nd Ho S
4 3 1 8
Cartesian
0.000 0.000 0.000
-2.074 -1.197 6.860
-2.074 1.197 13.719
0.000 2.395 6.860
-4.148 0.000 10.289
-2.074 1.197 3.430
2.074 1.197 3.430
0.000 0.000 10.289
0.000 0.000 5.038
-2.017 -1.165 11.854
0.000 -2.329 8.724
-2.017 1.165 8.724
2.017 -1.165 11.854
0.000 2.329 11.854
2.017 1.165 8.724
0.000 0.000 15.540
```

=====

8.
## AcNd2HoS4 (GGA-PBE)

Data for AcNd2HoS4 after structural relaxation.

Properties
formation energy from raw total energies: -1.976 eV per atom
V: 193.7 Å³ per cell
E_tot: -50.54 eV/cell
ρ: 6.93 g/cm³

Cell and atoms, written as POSCAR:
```
AcNd2HoS4
1.0
7.039 0.000 0.000
0.000 4.034 0.000
-2.315 0.000 6.820
Ac Nd Ho S
1 2 1 4
Cartesian
0.000 0.000 0.000
2.362 0.000 3.410
3.520 2.017 0.000
-1.157 2.017 3.410
0.002 0.000 4.989
1.162 2.017 1.824
3.562 2.017 4.996
4.722 0.000 1.831
```

=====

9.
## AcNdHo2S4 (GGA-PBE)

Data for AcNdHo2S4 after structural relaxation.

Properties
formation energy from raw total energies: -1.983 eV per atom
V: 186.5 Å³ per cell
E_tot: -50.41 eV/cell
ρ: 7.39 g/cm³

Cell and atoms, written as POSCAR:
```
AcNdHo2S4
1.0
6.884 0.000 0.000
0.000 3.955 0.000
-2.281 0.000 6.850
Ac Nd Ho S
1 1 2 4
Cartesian
0.000 0.000 0.000
3.442 1.977 0.000
-1.140 1.977 3.425
2.302 0.000 3.425
0.043 0.000 4.972
1.189 1.977 1.908
3.414 1.977 4.941
4.561 0.000 1.878
```

=====

10.
## Ac2NdHoS6 (GGA-PBE)

Data for Ac2NdHoS6 after structural relaxation.

Properties
formation energy from raw total energies: -2.091 eV per atom
V: 291.6 Å³ per cell
E_tot: -63.24 eV/cell
ρ: 5.44 g/cm³

Cell and atoms, written as POSCAR:
```
Ac2NdHoS6
1.0
3.663 2.115 6.273
-3.663 2.115 6.273
0.000 -4.230 6.273
Ac Nd Ho S
2 1 1 6
Cartesian
0.000 0.000 0.000
0.000 0.000 9.380
0.000 0.000 4.021
0.000 0.000 13.384
-1.313 -2.491 8.408
-2.093 0.205 11.582
-1.501 2.383 8.408
0.869 -1.915 11.582
2.814 0.108 8.408
1.224 1.710 11.582
```

=====

11.
## AcNd2HoSb4 (GGA-PBE)

Data for AcNd2HoSb4 after structural relaxation.

Properties
formation energy from raw total energies: -1.144 eV per atom
V: 268.5 Å³ per cell
E_tot: -43.86 eV/cell
ρ: 7.22 g/cm³

Cell and atoms, written as POSCAR:
```
AcNd2HoSb4
1.0
7.894 0.000 0.000
0.000 4.564 0.000
-2.627 0.000 7.453
Ac Nd Ho Sb
1 2 1 4
Cartesian
0.000 0.000 0.000
-1.313 2.282 3.727
2.633 0.000 3.727
3.947 2.282 0.000
0.088 0.000 5.604
1.405 2.282 1.910
3.862 2.282 5.543
5.178 0.000 1.849
```

=====

12.
## Ac2NdHoSb4 (GGA-PBE)

Data for Ac2NdHoSb4 after structural relaxation.

Properties
formation energy from raw total energies: -1.163 eV per atom
V: 279.9 Å³ per cell
E_tot: -43.35 eV/cell
ρ: 7.42 g/cm³

Cell and atoms, written as POSCAR:
```
Ac2NdHoSb4
1.0
8.009 0.000 0.000
0.000 4.628 0.000
-2.670 0.000 7.553
Ac Nd Ho Sb
2 1 1 4
Cartesian
0.000 0.000 0.000
4.005 2.314 0.000
-1.335 2.314 3.776
2.670 0.000 3.776
0.036 0.000 5.528
1.370 2.314 2.047
3.969 2.314 5.506
5.303 0.000 2.024
```

=====

13.
## AcNd2HoSe4 (GGA-PBE)

Data for AcNd2HoSe4 after structural relaxation.

Properties
formation energy from raw total energies: -1.789 eV per atom
V: 217.7 Å³ per cell
E_tot: -46.48 eV/cell
ρ: 7.60 g/cm³

Cell and atoms, written as POSCAR:
```
AcNd2HoSe4
1.0
7.291 0.000 0.000
0.000 4.179 0.000
-2.403 0.000 7.146
Ac Nd Ho Se
1 2 1 4
Cartesian
0.000 0.000 0.000
2.444 0.000 3.573
3.646 2.090 0.000
-1.201 2.090 3.573
0.004 0.000 5.236
1.207 2.090 1.906
3.681 2.090 5.240
4.885 0.000 1.910
```

=====

14.
## AcNd2HoSe6 (GGA-PBE)

Data for AcNd2HoSe6 after structural relaxation.

Properties
formation energy from raw total energies: -1.866 eV per atom
V: 324.5 Å³ per cell
E_tot: -57.79 eV/cell
ρ: 5.91 g/cm³

Cell and atoms, written as POSCAR:
```
AcNd2HoSe6
1.0
3.758 2.169 6.635
-3.758 2.169 6.635
0.000 -4.339 6.635
Ac Nd Ho Se
1 2 1 6
Cartesian
0.000 0.000 0.000
0.000 0.000 5.722
0.000 0.000 15.820
0.000 0.000 9.742
-2.159 -0.151 7.819
-1.435 -2.081 11.112
1.210 -1.794 7.819
-1.084 2.283 11.112
0.949 1.945 7.819
2.519 -0.202 11.112
```

=====

15.
## AcNdHoSe3 (GGA-PBE)

Data for AcNdHoSe3 after structural relaxation.

Properties
formation energy from raw total energies: -1.667 eV per atom
V: 356.7 Å³ per cell
E_tot: -67.82 eV/cell
ρ: 7.20 g/cm³

Cell and atoms, written as POSCAR:
```
AcNdHoSe3
1.0
8.203 0.000 0.000
0.000 4.197 0.000
-2.561 0.000 10.361
Ac Nd Ho Se
2 2 2 6
Cartesian
0.975 1.049 2.155
4.667 3.147 8.206
-0.166 1.049 6.462
5.808 3.147 3.898
0.455 3.147 9.377
5.188 1.049 0.984
-1.451 1.049 9.263
0.568 3.147 4.499
3.423 3.147 1.874
2.220 1.049 8.486
5.075 1.049 5.862
7.094 3.147 1.098
```

=====

16.
## AcNdHo2Se4 (GGA-PBE)

Data for AcNdHo2Se4 after structural relaxation.

Properties
formation energy from raw total energies: -1.780 eV per atom
V: 210.4 Å³ per cell
E_tot: -46.21 eV/cell
ρ: 8.03 g/cm³

Cell and atoms, written as POSCAR:
```
AcNdHo2Se4
1.0
7.139 0.000 0.000
0.000 4.103 0.000
-2.368 0.000 7.181
Ac Nd Ho Se
1 1 2 4
Cartesian
0.000 0.000 0.000
3.569 2.052 0.000
-1.184 2.052 3.590
2.385 0.000 3.590
0.043 0.000 5.224
1.232 2.052 1.990
3.538 2.052 5.191
4.727 0.000 1.957
```

=====

17.
## AcNd3Ho2Se6 (GGA-PBE)

Data for AcNd3Ho2Se6 after structural relaxation.

Properties
formation energy from raw total energies: -1.790 eV per atom
V: 317.9 Å³ per cell
E_tot: -69.95 eV/cell
ρ: 7.64 g/cm³

Cell and atoms, written as POSCAR:
```
AcNd3Ho2Se6
1.0
3.642 -6.331 0.000
3.642 6.331 0.000
-2.453 0.000 6.894
Ac Nd Ho Se
1 3 2 6
Cartesian
0.000 0.000 0.000
2.416 4.349 3.447
2.416 0.000 3.447
2.416 -4.349 3.447
3.642 2.113 0.000
3.642 -2.113 0.000
1.275 2.232 1.700
0.120 0.000 5.262
1.275 -2.232 1.700
3.557 2.232 5.194
4.712 0.000 1.632
3.557 -2.232 5.194
```

=====

18.
## Ac2NdHoSe4 (GGA-PBE)

Data for Ac2NdHoSe4 after structural relaxation.

Properties
formation energy from raw total energies: -1.812 eV per atom
V: 225.7 Å³ per cell
E_tot: -46.00 eV/cell
ρ: 7.94 g/cm³

Cell and atoms, written as POSCAR:
```
Ac2NdHoSe4
1.0
7.341 0.000 0.000
0.000 4.203 0.000
-2.415 0.000 7.315
Ac Nd Ho Se
2 1 1 4
Cartesian
0.000 0.000 0.000
3.670 2.101 0.000
-1.207 2.101 3.657
2.463 0.000 3.657
0.081 0.000 5.326
1.291 2.101 2.028
3.636 2.101 5.287
4.846 0.000 1.988
```

=====

19.
## Ac3Nd4HoSe8 (GGA-PBE)

Data for Ac3Nd4HoSe8 after structural relaxation.

Properties
formation energy from raw total energies: -1.811 eV per atom
V: 450.9 Å³ per cell
E_tot: -92.82 eV/cell
ρ: 7.57 g/cm³

Cell and atoms, written as POSCAR:
```
Ac3Nd4HoSe8
1.0
4.311 2.489 7.005
-4.311 2.489 7.005
0.000 -4.978 7.005
Ac Nd Ho Se
3 4 1 8
Cartesian
-2.155 -1.244 7.005
-2.155 1.244 14.009
0.000 2.489 7.005
-4.311 0.000 10.507
-2.155 1.244 3.502
2.155 1.244 3.502
0.000 0.000 10.507
0.000 0.000 0.000
-2.255 -1.302 12.238
0.000 -2.604 8.775
-2.255 1.302 8.775
0.000 0.000 5.148
0.000 0.000 15.866
2.255 -1.302 12.238
0.000 2.604 12.238
2.255 1.302 8.775
```

=====

20.
## Ac2NdHoSe6 (GGA-PBE)

Data for Ac2NdHoSe6 after structural relaxation.

Properties
formation energy from raw total energies: -1.914 eV per atom
V: 331.9 Å³ per cell
E_tot: -57.61 eV/cell
ρ: 6.19 g/cm³

Cell and atoms, written as POSCAR:
```
Ac2NdHoSe6
1.0
3.815 2.202 6.583
-3.815 2.202 6.583
0.000 -4.405 6.583
Ac Nd Ho Se
2 1 1 6
Cartesian
0.000 0.000 0.000
0.000 0.000 9.846
0.000 0.000 5.712
0.000 0.000 15.629
-1.372 -1.834 7.652
-2.895 -0.188 10.905
-0.902 2.105 7.652
1.610 -2.413 10.905
2.274 -0.271 7.652
1.285 2.601 10.905
```